# HfReI2Cl

A geometry-optimized HfReI2Cl structure (PBE-GGA, the Alexandria database).

The space-group type is P4/mmm (123). The density of states at the Fermi level comes out at 3.48 states/eV per cell. Its formation energy without anion corrections is 0.799 eV/atom. The calculation puts the total energy at -4.6708 eV per atom. The value obtained for the total magnetization is 0.96 μB/atom.

Geometry as extended XYZ:
```
5
Lattice="5.7260 0.0000 0.0000 0.0000 5.7260 0.0000 0.0000 0.0000 4.9268" Properties=species:S:1:pos:R:3 pbc="T T T"
Hf 0.0000 0.0000 0.0000
Re 2.8630 2.8630 2.4634
I 0.0000 2.8630 0.0000
I 2.8630 0.0000 0.0000
Cl 0.0000 0.0000 2.4634
```



# TcPtRhSe2

A geometry-optimized TcPtRhSe2 structure (PBE-GGA, the Alexandria database).

The space-group type is P4/mmm (123). The density of states at the Fermi level comes out at 5.85 states/eV per cell. Its formation energy without anion corrections is 1.355 eV/atom. The calculation puts the total energy at -4.7900 eV per atom. The value obtained for the total magnetization is 1.12 μB/atom.

Geometry as extended XYZ:
```
5
Lattice="4.8358 0.0000 0.0000 0.0000 4.8358 0.0000 0.0000 0.0000 5.0954" Properties=species:S:1:pos:R:3 pbc="T T T"
Tc 0.0000 0.0000 0.0000
Pt 0.0000 0.0000 2.5477
Rh 2.4179 2.4179 0.0000
Se 0.0000 2.4179 2.5477
Se 2.4179 0.0000 2.5477
```



# Ta5Al

A geometry-optimized Ta5Al structure (PBE-GGA, the Alexandria database).

The formation energy comes out at -0.06 eV per atom. The space-group type is Cmmm (65). The density of states at the Fermi level comes out at 7.05 states/eV per cell. The calculation puts the energy above the most stable polymorph in this dataset at 4 meV per atom. The calculation puts the total energy at -10.5614 eV per atom. The value obtained for the total magnetization is 0.00 μB/atom.

Geometry as extended XYZ:
```
6
Lattice="1.7582 -6.7461 0.0000 1.7582 6.7461 0.0000 0.0000 0.0000 4.5241" Properties=species:S:1:pos:R:3 pbc="T T T"
Ta 0.0000 0.0000 0.0000
Ta 1.7582 4.5280 2.2620
Ta 1.7582 2.1949 0.0000
Ta 1.7582 -2.1949 0.0000
Ta 1.7582 -4.5280 2.2620
Al 1.7582 0.0000 2.2620
```



# ZrHgMo2

A geometry-optimized ZrHgMo2 structure (PBE-GGA, the Alexandria database).

The formation energy comes out at 0.18 eV per atom. The space-group type is Pm (6). The density of states at the Fermi level comes out at 2.92 states/eV per cell. The calculation puts the total energy at -7.4454 eV per atom. The value obtained for the total magnetization is 0.00 μB/atom.

Geometry as extended XYZ:
```
4
Lattice="2.9428 0.0000 0.0000 0.0000 4.3162 0.0000 -0.9438 0.0000 5.8891" Properties=species:S:1:pos:R:3 pbc="T T T"
Zr 0.0000 0.0000 0.0000
Hg 1.4574 2.1581 1.5961
Mo -0.0617 0.0000 3.2345
Mo 0.7859 2.1581 4.3839
```



# CeTl2Se3

A geometry-optimized CeTl2Se3 structure (PBE-GGA, the Alexandria database).

The space-group type is Immm (71). The density of states at the Fermi level comes out at 0.31 states/eV per cell. The calculation puts the energy above the most stable polymorph in this dataset at 39 meV per atom. Its formation energy without anion corrections is -1.015 eV/atom. The calculation puts the total energy at -4.5350 eV per atom. The value obtained for the total magnetization is 0.02 μB/atom.

Geometry as extended XYZ:
```
6
Lattice="-2.1457 3.0676 7.2243 2.1457 -3.0676 7.2243 2.1457 3.0676 -7.2243" Properties=species:S:1:pos:R:3 pbc="T T T"
Ce 0.0000 0.0000 0.0000
Tl 0.0000 0.0000 4.8217
Tl 0.0000 0.0000 9.6268
Se 2.1457 0.0000 1.8826
Se 0.0000 3.0676 0.0000
Se 0.0000 3.0676 5.3417
```



# NbSiPt

A geometry-optimized NbSiPt structure (PBE-GGA, the Alexandria database).

The space-group type is R-3m (166). The density of states at the Fermi level comes out at 5.49 states/eV per cell. Its formation energy without anion corrections is -0.388 eV/atom. The calculation puts the total energy at -7.5663 eV per atom. The value obtained for the total magnetization is 0.00 μB/atom.

Geometry as extended XYZ:
```
6
Lattice="2.0323 1.1734 7.2068 -2.0323 1.1734 7.2068 0.0000 -2.3467 7.2068" Properties=species:S:1:pos:R:3 pbc="T T T"
Nb 0.0000 0.0000 2.8082
Nb 0.0000 0.0000 18.8123
Si 0.0000 0.0000 5.5980
Si 0.0000 0.0000 16.0225
Pt 0.0000 0.0000 8.0787
Pt 0.0000 0.0000 13.5417
```



# CaMn2ReGe

A geometry-optimized CaMn2ReGe structure (PBE-GGA, the Alexandria database).

The formation energy comes out at 1.16 eV per atom. The space-group type is P4/mmm (123). The density of states at the Fermi level comes out at 12.34 states/eV per cell. The calculation puts the total energy at -6.3163 eV per atom. The value obtained for the total magnetization is 0.24 μB/atom.

Geometry as extended XYZ:
```
5
Lattice="4.4806 0.0000 0.0000 0.0000 4.4806 0.0000 0.0000 0.0000 4.6674" Properties=species:S:1:pos:R:3 pbc="T T T"
Ca 0.0000 0.0000 0.0000
Mn 0.0000 2.2403 2.3337
Mn 2.2403 0.0000 2.3337
Re 2.2403 2.2403 0.0000
Ge 2.2403 2.2403 2.3337
```



# Pr2HBr3

A geometry-optimized Pr2HBr3 structure (PBE-GGA, the Alexandria database).

The space-group type is C2/m (12). The density of states at the Fermi level comes out at 5.60 states/eV per cell. The calculation puts the total energy at -4.4007 eV per atom. The value obtained for the total magnetization is 0.14 μB/atom.

Geometry as extended XYZ:
```
12
Lattice="8.8229 -2.0109 0.0000 8.8229 2.0109 0.0000 -5.5883 0.0000 10.0294" Properties=species:S:1:pos:R:3 pbc="T T T"
Pr -1.1490 0.0000 4.5822
Pr 5.2487 0.0000 2.0013
Pr 6.8088 0.0000 8.0281
Pr 13.2065 0.0000 5.4472
H -2.3443 0.0000 6.6806
H 14.4018 0.0000 3.3488
Br 2.7795 0.0000 0.1458
Br 2.8251 0.0000 3.8227
Br 3.8300 0.0000 7.6293
Br 8.2275 0.0000 2.4001
Br 9.2325 0.0000 6.2067
Br 9.2780 0.0000 9.8836
```